! GGA-PBE CsReIrAu, optimized geometry; values from VASP
&SYSTEM
  ibrav = 0, nat = 4, ntyp = 4
/
ATOMIC_SPECIES
Au 196.97 Au.upf
Cs 132.91 Cs.upf
Ir 192.22 Ir.upf
Re 186.21 Re.upf
CELL_PARAMETERS angstrom
0.000 3.386 3.386
3.386 0.000 3.386
3.386 3.386 0.000
ATOMIC_POSITIONS crystal
Au 0.750 0.750 0.750
Cs 0.250 0.250 0.250
Ir 0.000 0.000 0.000
Re 0.500 0.500 0.500
! relative energy among the computed polymorphs: 236 meV/atom
! space-group type: F-43m (216)
! DFT total energy: -17.50 eV/cell

=====

! GGA-PBE CsReIrAu, optimized geometry; values from VASP
&SYSTEM
  ibrav = 0, nat = 4, ntyp = 4
/
ATOMIC_SPECIES
Au 196.97 Au.upf
Cs 132.91 Cs.upf
Ir 192.22 Ir.upf
Re 186.21 Re.upf
CELL_PARAMETERS angstrom
-1.314 -1.897 4.224
-4.665 -0.624 1.012
-1.853 -4.439 0.173
ATOMIC_POSITIONS crystal
Au 0.750 0.750 0.750
Cs 0.500 0.500 0.500
Ir 0.000 0.000 0.000
Re 0.250 0.250 0.250
! relative energy among the computed polymorphs: 0 meV/atom
! space-group type: F-43m (216)
! DFT total energy: -18.44 eV/cell

=====

! GGA-PBE CsIrAuS3, optimized geometry; values from VASP
&SYSTEM
  ibrav = 0, nat = 12, ntyp = 4
/
ATOMIC_SPECIES
Au 196.97 Au.upf
Cs 132.91 Cs.upf
Ir 192.22 Ir.upf
S 32.06 S.upf
CELL_PARAMETERS angstrom
8.818 -1.852 0.000
8.818 1.852 0.000
0.000 0.000 9.404
ATOMIC_POSITIONS crystal
Au 0.390 0.390 0.250
Au 0.610 0.610 0.750
Cs 0.720 0.720 0.250
Cs 0.280 0.280 0.750
Ir 0.000 0.000 0.000
Ir 0.000 0.000 0.500
S 0.411 0.411 0.009
S 0.038 0.038 0.250
S 0.411 0.411 0.491
S 0.589 0.589 0.509
S 0.962 0.962 0.750
S 0.589 0.589 0.991
! space-group type: Cmcm (63)
! DFT total energy: -54.31 eV/cell

=====

! GGA-PBE CsTeIrAuS2, optimized geometry; values from VASP
&SYSTEM
  ibrav = 0, nat = 12, ntyp = 5
/
ATOMIC_SPECIES
Au 196.97 Au.upf
Cs 132.91 Cs.upf
Ir 192.22 Ir.upf
S 32.06 S.upf
Te 127.60 Te.upf
CELL_PARAMETERS angstrom
1.826 -8.953 0.000
1.826 8.953 0.000
0.000 0.000 10.290
ATOMIC_POSITIONS crystal
Au 0.899 0.101 0.250
Au 0.101 0.899 0.750
Cs 0.232 0.768 0.250
Cs 0.768 0.232 0.750
Ir 0.500 0.500 0.000
Ir 0.500 0.500 0.500
S 0.912 0.088 0.024
S 0.912 0.088 0.476
S 0.088 0.912 0.524
S 0.088 0.912 0.976
Te 0.549 0.451 0.250
Te 0.451 0.549 0.750
! space-group type: Cmcm (63)
! DFT total energy: -53.04 eV/cell

=====

! GGA-PBE CsIrAu3Se4, optimized geometry; values from VASP
&SYSTEM
  ibrav = 0, nat = 9, ntyp = 4
/
ATOMIC_SPECIES
Au 196.97 Au.upf
Cs 132.91 Cs.upf
Ir 192.22 Ir.upf
Se 78.96 Se.upf
CELL_PARAMETERS angstrom
-3.837 3.006 4.381
-5.204 -3.220 -2.347
1.076 -4.853 4.272
ATOMIC_POSITIONS crystal
Au 0.500 0.500 0.000
Au 0.500 0.000 0.500
Au 0.000 0.500 0.500
Cs 0.000 0.000 0.000
Ir 0.500 0.500 0.500
Se 0.291 0.291 0.291
Se 0.709 0.709 0.291
Se 0.709 0.291 0.709
Se 0.291 0.709 0.709
! space-group type: P-43m (215)
! DFT total energy: -33.54 eV/cell

=====

! GGA-PBE CsTe2IrAuSe, optimized geometry; values from VASP
&SYSTEM
  ibrav = 0, nat = 12, ntyp = 5
/
ATOMIC_SPECIES
Au 196.97 Au.upf
Cs 132.91 Cs.upf
Ir 192.22 Ir.upf
Se 78.96 Se.upf
Te 127.60 Te.upf
CELL_PARAMETERS angstrom
2.177 8.611 0.046
-3.181 -7.418 3.706
9.752 -2.483 3.401
ATOMIC_POSITIONS crystal
Au 0.931 0.069 0.250
Au 0.069 0.931 0.750
Cs 0.254 0.746 0.250
Cs 0.746 0.254 0.750
Ir 0.500 0.500 0.000
Ir 0.500 0.500 0.500
Se 0.542 0.458 0.250
Se 0.458 0.542 0.750
Te 0.898 0.102 0.007
Te 0.898 0.102 0.493
Te 0.102 0.898 0.507
Te 0.102 0.898 0.993
! space-group type: Cmcm (63)
! DFT total energy: -48.13 eV/cell

=====

| no. | total magnetic moment (μB per formula unit) |
| --- | --- |
| 1 | 1.213 |
| 2 | 0.002 |
| 3 | 0.118 |
| 4 | 0.004 |
| 5 | 0.001 |
| 6 | 0.014 |